No. 1
The following is a DFT calculation (GGA-PBE) of an optimized crystal structure of Ac3Pr3Au4.

## Properties
DFT formation energy in eV/atom: -0.6286
Theoretical density in Mg/m³: 10.17
DFT total energy in eV/atom: -4.606

a b c (Å): 4.1038 12.2624 12.2752
angles (deg): 90.00 90.00 90.00
Last column: nearest neighbours and their distance in Å.
Space group Amm2 (No. 38)
Inequivalent atoms, fractional coordinates:
Ac1 0.0000 0.0000 0.0000  6 Au 3.28-3.30
Ac2 0.0000 0.1657 0.6583  6 Au 3.26-3.32
Pr1 0.0000 0.0000 0.3283  6 Au 3.17-3.25
Pr2 0.5000 0.2463 0.4072  4 Au 3.28-3.55
Au1 0.5000 0.0000 0.5253  4 Pr 3.17-3.35, 1 Au 3.27, 4 Ac 3.32
Au2 0.5000 0.0000 0.7916  1 Au 3.27, 6 Ac 3.28-3.32, 2 Pr 3.42
Au3 0.5000 0.1274 0.1676  1 Au 3.12, 3 Pr 3.25-3.28, 4 Ac 3.26-3.30

No. 2
The following is a DFT calculation (GGA-PBE) of an optimized crystal structure of HoTmTe3.

## Properties
Theoretical density in Mg/m³: 6.54
Formation energy (no corrections) in eV/atom: -1.33
DFT total energy in eV/atom: -5.029

a b c (Å): 4.3538 22.1799 7.5361
angles (deg): 90.00 90.00 90.00
Last column: nearest neighbours and their distance in Å.
Space group Cmc2_1 (No. 36)
Inequivalent atoms, fractional coordinates:
Ho1 0.0000 0.1584 0.0000  6 Te 2.96-3.23
Tm1 0.0000 0.3407 0.9997  6 Te 2.95-3.22
Te1 0.0000 0.0891 0.6637  2 Tm 2.95, 1 Ho 2.96
Te2 0.0000 0.2499 0.3334  3 Tm 3.22, 3 Ho 3.23
Te3 0.0000 0.4118 0.6693  1 Tm 2.95, 2 Ho 2.97

No. 3
The following is a DFT calculation (GGA-PBE) of an optimized crystal structure of ZrSc2Cr.

## Properties
DFT formation energy in eV/atom: 0.1840
Theoretical density in Mg/m³: 4.64
DFT total energy in eV/atom: -7.525

a b c (Å): 3.2776 3.2776 7.7729
angles (deg): 90.00 90.00 90.00
Last column: nearest neighbours and their distance in Å.
Space group P4/mmm (No. 123)
Inequivalent atoms, fractional coordinates:
Zr1 0.0000 0.0000 0.0000  8 Sc 3.21, 4 Zr 3.28
Sc1 0.5000 0.5000 0.2856  4 Cr 2.85
Cr1 0.0000 0.0000 0.5000  8 Sc 2.85

No. 4
The following is a DFT calculation (GGA-PBE) of an optimized crystal structure of AlRe2Mo.

## Properties
DFT formation energy in eV/atom: -0.0645
Theoretical density in Mg/m³: 13.70
DFT total energy in eV/atom: -9.932

a b c (Å): 2.7483 4.3163 5.2153
angles (deg): 90.00 103.97 90.00
Last column: nearest neighbours and their distance in Å.
Space group Pm (No. 6)
Inequivalent atoms, fractional coordinates:
Al1 0.0000 0.0000 0.0000  4 Re 2.62-2.68, 4 Mo 2.73-2.93, 2 Al 2.75
Re1 0.2270 0.5000 0.7473  2 Mo 2.56-2.72, 2 Al 2.68, 4 Re 2.69-2.75
Re2 0.4945 0.0000 0.5048  2 Al 2.62-2.66, 2 Mo 2.69, 4 Re 2.69-2.75
Mo1 0.6820 0.5000 0.2364  4 Re 2.56-2.72, 2 Al 2.73, 2 Mo 2.75

No. 5
The following is a DFT calculation (GGA-PBE) of an optimized crystal structure of Cd12In3Hg.

## Properties
DFT formation energy in eV/atom: 0.0303
Theoretical density in Mg/m³: 8.39
DFT total energy in eV/atom: -1.188

a b c (Å): 4.5447 4.5447 18.1421
angles (deg): 90.00 90.00 90.00
Last column: nearest neighbours and their distance in Å.
Space group P4/mmm (No. 123)
Inequivalent atoms, fractional coordinates:
Cd1 0.0000 0.0000 0.0000  8 Cd 3.18, 4 Hg 3.21
Cd2 0.0000 0.0000 0.2494  8 Cd 3.21-3.23, 4 In 3.21
Cd3 0.0000 0.0000 0.5000  4 In 3.21, 8 Cd 3.22
Cd4 0.0000 0.5000 0.1230  2 Hg 3.18, 8 Cd 3.18-3.23, 2 In 3.22
Cd5 0.0000 0.5000 0.3742  8 Cd 3.21-3.22, 4 In 3.22
In1 0.5000 0.5000 0.2485  12 Cd 3.21-3.22
In2 0.5000 0.5000 0.5000  12 Cd 3.21-3.22
Hg1 0.5000 0.5000 0.0000  12 Cd 3.18-3.21

No. 6
The following is a DFT calculation (GGA-PBE) of an optimized crystal structure of Mn5RuN.

## Properties
Theoretical density in Mg/m³: 8.38
Formation energy (no corrections) in eV/atom: 0.11
DFT total energy in eV/atom: -8.956

a b c (Å): 3.5550 3.5550 6.1148
angles (deg): 90.00 90.00 90.00
Last column: nearest neighbours and their distance in Å.
Space group P4/mmm (No. 123)
Inequivalent atoms, fractional coordinates:
Mn1 0.0000 0.0000 0.0000  4 Ru 2.51, 8 Mn 2.58
Mn2 0.0000 0.5000 0.3062  2 N 2.14, 1 Mn 2.37
Ru1 0.5000 0.5000 0.0000  12 Mn 2.51-2.58
N1 0.5000 0.5000 0.5000  8 Mn 2.14

No. 7
The following is a DFT calculation (GGA-PBE) of an optimized crystal structure of CoRhS3.

## Properties
Theoretical density in Mg/m³: 5.27
Formation energy (no corrections) in eV/atom: 0.68
DFT total energy in eV/atom: -4.686

a b c (Å): 4.3319 4.3319 4.3319
angles (deg): 90.00 90.00 90.00
Last column: nearest neighbours and their distance in Å.
Space group Pm-3m (No. 221)
Inequivalent atoms, fractional coordinates:
Co1 0.0000 0.0000 0.0000  6 S 2.17
Rh1 0.5000 0.5000 0.5000  12 S 3.06
S1 0.0000 0.0000 0.5000  2 Co 2.17

No. 8
The following is a DFT calculation (GGA-PBE) of an optimized crystal structure of Zr3TiSn.

## Properties
DFT formation energy in eV/atom: 1.0221
Theoretical density in Mg/m³: 4.97
DFT total energy in eV/atom: -6.486

a b c (Å): 5.2777 5.2777 5.2777
angles (deg): 90.00 90.00 90.00
Last column: nearest neighbours and their distance in Å.
Space group Pm-3m (No. 221)
Inequivalent atoms, fractional coordinates:
Zr1 0.0000 0.0000 0.5000  2 Sn 2.64
Ti1 0.5000 0.5000 0.5000  12 Zr 3.73
Sn1 0.0000 0.0000 0.0000  6 Zr 2.64